MgNb3H: relaxed, PBE.

It has space group Pm-3m (No. 221), with a = 4.242 Å, b = 4.242 Å, c = 4.242 Å, α = 90.00°, β = 90.00° and γ = 90.00°. The distinct sites, in fractional coordinates, are Mg at (0.000, 0.000, 0.000), Nb at (0.000, 0.500, 0.500) and H at (0.500, 0.500, 0.500).

The value obtained for the spin magnetization is 0.000 μB/cell. Its crystal system is cubic. For the density of states at the Fermi level, the calculation gives 1.1432 states/eV per atom. The calculation puts the distance to the lowest polymorph of the same formula at 0.000 eV/atom.